# 1
# ScIn2TeMo

A relaxed ScIn2TeMo crystal (GGA-PBE, the Alexandria database).

Cell lengths 5.631, 4.998, 5.631 Å; angles 90.00, 90.00, 90.00 degrees
Last column: magnetic moment on the atom in μB.
Fractional coordinates of all 5 atoms:
Mo  0.000  0.500  0.000  1.72
In  0.000  0.000  0.500  0.00
Te  0.000  0.000  0.000  -0.07
In  0.500  0.000  0.000  -0.03
Sc  0.500  0.500  0.500  -0.30

Values from the calculation:
Spin magnetization: 1.45 μB/f.u.
Uncorrected formation energy: 1.100 eV per atom
Space group: P4/mmm, No. 123

# 2
# Ti2FeCo2

A relaxed Ti2FeCo2 crystal (GGA-PBE, the Alexandria database).

Cell lengths 2.783, 3.935, 6.376 Å; angles 72.02, 90.00, 90.00 degrees
Last column: magnetic moment on the atom in μB.
Fractional coordinates of all 5 atoms:
Ti  0.500  0.373  0.253  -0.32
Co  0.000  0.810  0.379  0.50
Co  0.000  0.190  0.621  0.50
Fe  0.000  0.000  0.000  2.37
Ti  0.500  0.627  0.747  -0.32

Values from the calculation:
Spin magnetization: 2.60 μB/f.u.
ΔE_f: -0.62 eV/f.u.
Space group: Cmmm, No. 65

# 3
# LaAg2RuS

A relaxed LaAg2RuS crystal (GGA-PBE, the Alexandria database).

Cell lengths 5.688, 5.230, 5.688 Å; angles 90.00, 90.00, 90.00 degrees
Last column: magnetic moment on the atom in μB.
Fractional coordinates of all 5 atoms:
Ru  0.500  0.500  0.500  2.60
Ag  0.000  0.000  0.500  0.05
La  0.000  0.000  0.000  0.02
Ag  0.500  0.000  0.000  0.00
S  0.000  0.500  0.000  0.03

Values from the calculation:
Spin magnetization: 3.01 μB/f.u.
Uncorrected formation energy: 1.172 eV per atom
Space group: P4/mmm, No. 123

# 4
# Ca4TlCu

A relaxed Ca4TlCu crystal (GGA-PBE, the Alexandria database).

Cell lengths 6.110, 9.271, 8.409 Å; angles 115.78, 100.77, 108.67 degrees
Fractional coordinates of all 12 atoms:
Cu  0.249  0.999  0.998
Tl  0.619  0.369  0.738
Ca  0.383  0.943  0.656
Ca  0.227  0.287  0.344
Ca  0.773  0.713  0.656
Ca  0.724  0.370  0.150
Ca  0.926  0.780  0.150
Cu  0.751  0.001  0.002
Ca  0.617  0.057  0.344
Ca  0.074  0.220  0.850
Tl  0.381  0.631  0.262
Ca  0.276  0.630  0.850

Values from the calculation:
Spin magnetization: 0.00 μB/f.u.
ΔE_f: -1.10 eV/f.u.
Space group: C2/c, No. 15
ΔE to the lowest computed polymorph: 0.00 kJ per mole of atoms

# 5
# MnIrRhS

A relaxed MnIrRhS crystal (GGA-PBE, the Alexandria database).

Cell lengths 2.917, 3.693, 10.415 Å; angles 90.00, 90.00, 90.00 degrees
Last column: magnetic moment on the atom in μB.
Fractional coordinates of all 8 atoms:
S  0.500  0.000  0.804  -0.07
S  0.500  0.500  0.304  -0.07
Ir  0.500  0.500  0.083  -0.03
Mn  0.000  0.500  0.471  2.55
Ir  0.500  0.000  0.583  -0.03
Rh  0.000  0.000  0.243  -0.06
Rh  0.000  0.500  0.743  -0.06
Mn  0.000  0.000  0.971  2.55

Values from the calculation:
Spin magnetization: 2.44 μB/f.u.
Uncorrected formation energy: 0.007 eV per atom
Space group: Amm2, No. 38
ΔE to the lowest computed polymorph: 8.92 kJ per mole of atoms

# 6
# Pr2Ni12Ge3Pt

A relaxed Pr2Ni12Ge3Pt crystal (GGA-PBE, the Alexandria database).

Cell lengths 7.286, 7.286, 7.286 Å; angles 65.24, 65.24, 65.24 degrees
Fractional coordinates of all 18 atoms:
Ni  0.857  0.857  0.371
Ni  0.362  0.973  0.362
Ni  0.638  0.027  0.638
Ni  0.362  0.362  0.973
Ni  0.143  0.629  0.143
Ni  0.371  0.857  0.857
Ni  0.629  0.143  0.143
Ni  0.143  0.143  0.629
Ni  0.027  0.638  0.638
Ge  0.000  0.000  0.500
Ge  0.500  0.000  0.000
Ni  0.973  0.362  0.362
Pr  0.397  0.397  0.397
Pt  0.000  0.000  0.000
Ni  0.638  0.638  0.027
Ge  0.000  0.500  0.000
Ni  0.857  0.371  0.857
Pr  0.603  0.603  0.603

Values from the calculation:
Spin magnetization: 0.00 μB/f.u.
ΔE_f: 3.20 eV/f.u.
Space group: R-3m, No. 166